Density functional theory data (PBE+U) for crystalline CoBiN2F at its relaxed geometry.

abc: 4.331 4.331 4.319
angles: 90.00 90.00 90.00
Positions (direct):
1 Co 0.000 0.000 0.000
2 Bi 0.500 0.500 0.500
3 N 0.000 0.500 0.500
4 N 0.500 0.000 0.500
5 F 0.500 0.500 0.000

Computed properties:
Calculated volume = 81.0 Å³ per cell
Excess energy over the best structure of this formula in the dataset = 356 kJ/mol of formula units
Electronic total energy = -22.35 eV/cell